1.
The following is a DFT calculation (GGA-PBE) of a relaxed structure of AcGa2IrO8.

The structure in POSCAR format:
```
AcGa2IrO8
1.0
4.845 0.442 0.343
0.484 4.853 0.368
0.498 0.538 6.998
O Ga Ac Ir
8 2 1 1
Direct
0.279 0.215 0.950 O
0.646 0.688 0.495 O
0.810 0.243 0.790 O
0.802 0.233 0.199 O
0.190 0.757 0.210 O
0.198 0.767 0.801 O
0.354 0.312 0.505 O
0.721 0.785 0.050 O
0.458 0.451 0.718 Ga
0.542 0.549 0.282 Ga
0.000 0.000 0.500 Ac
0.000 0.000 0.000 Ir
```

DOS at the Fermi energy: 5.8 states/eV per cell
Spin magnetization: 0.6 Bohr magnetons per cell
Uncorrected energy: -0.2362 Ha/atom

***

2.
The following is a DFT calculation (GGA-PBE) of a relaxed structure of TlCd2Au.

The structure in POSCAR format:
```
TlCd2Au
1.0
-3.849 -9.178 -0.493
-3.292 -8.642 -3.710
-0.856 -9.768 -1.774
Tl Cd Au
1 2 1
Direct
0.250 0.250 0.250 Tl
0.009 0.009 0.009 Cd
0.491 0.491 0.491 Cd
0.750 0.750 0.750 Au
```

Relative energy among the computed polymorphs: 71 meV per atom
E_form: -0.1 eV per formula unit
DOS at the Fermi energy: 0.7 states/eV per cell
Spin magnetization: 0.0 Bohr magnetons per cell
Uncorrected energy: -0.0694 Ha/atom

***

3.
The following is a DFT calculation (GGA-PBE) of a relaxed structure of GdPuAs.

The structure in POSCAR format:
```
GdPuAs
1.0
3.802 0.000 0.000
0.000 3.802 0.000
-1.901 -1.901 5.205
Gd Pu As
1 1 1
Direct
0.308 0.308 0.616 Gd
0.022 0.022 0.044 Pu
0.670 0.670 0.340 As
```

Relative energy among the computed polymorphs: 0 meV per atom
E_form: -1.8 eV per formula unit
DOS at the Fermi energy: 7.7 states/eV per cell
Spin magnetization: 13.9 Bohr magnetons per cell
Uncorrected energy: -0.4271 Ha/atom

***

4.
The following is a DFT calculation (GGA-PBE) of a relaxed structure of Ag2SnPt2.

The structure in POSCAR format:
```
Ag2SnPt2
1.0
-1.471 -3.441 -0.461
3.104 -1.528 1.501
-2.012 -2.110 6.750
Ag Pt Sn
2 2 1
Direct
0.750 0.250 0.500 Ag
0.250 0.750 0.500 Ag
0.404 0.404 0.192 Pt
0.596 0.596 0.808 Pt
0.000 0.000 0.000 Sn
```

Relative energy among the computed polymorphs: 171 meV per atom
E_form: 0.4 eV per formula unit
DOS at the Fermi energy: 2.7 states/eV per cell
Spin magnetization: 0.0 Bohr magnetons per cell
Uncorrected energy: -0.1573 Ha/atom

***

5.
The following is a DFT calculation (GGA-PBE) of a relaxed structure of SnP2PdO8.

The structure in POSCAR format:
```
SnP2PdO8
1.0
-4.214 -2.189 0.423
-1.084 -2.328 4.016
-4.739 4.763 4.311
O P Sn Pd
8 2 1 1
Direct
0.189 0.189 0.432 O
0.733 0.029 0.835 O
0.811 0.811 0.568 O
0.403 0.733 0.835 O
0.597 0.267 0.165 O
0.267 0.971 0.165 O
0.029 0.403 0.835 O
0.971 0.597 0.165 O
0.258 0.258 0.226 P
0.742 0.742 0.774 P
0.500 0.500 0.500 Sn
0.000 0.000 0.000 Pd
```

Spin magnetization: 0.0 Bohr magnetons per cell
Uncorrected energy: -0.2379 Ha/atom

***

6.
The following is a DFT calculation (GGA-PBE) of a relaxed structure of NdMgSi2Pd.

The structure in POSCAR format:
```
NdMgSi2Pd
1.0
4.147 0.000 0.000
0.000 4.147 0.000
-2.073 -2.073 5.468
Nd Mg Pd Si
1 1 1 2
Direct
0.000 0.000 0.000 Nd
0.750 0.250 0.500 Mg
0.250 0.750 0.500 Pd
0.608 0.608 0.215 Si
0.392 0.392 0.785 Si
```

DOS at the Fermi energy: 1.6 states/eV per cell
Spin magnetization: 0.0 Bohr magnetons per cell
Uncorrected energy: -0.1923 Ha/atom

***

7.
The following is a DFT calculation (GGA-PBE) of a relaxed structure of CaBePdPt2.

The structure in POSCAR format:
```
CaBePdPt2
1.0
4.339 0.000 0.000
0.000 4.339 0.000
0.000 0.000 4.391
Be Pt Pd Ca
1 2 1 1
Direct
0.000 0.000 0.000 Be
0.500 0.000 0.000 Pt
0.000 0.500 0.000 Pt
0.000 0.000 0.500 Pd
0.500 0.500 0.500 Ca
```

E_form: -3.3 eV per formula unit
DOS at the Fermi energy: 0.8 states/eV per cell
Spin magnetization: 0.0 Bohr magnetons per cell
Uncorrected energy: -0.1935 Ha/atom

***

8.
The following is a DFT calculation (GGA-PBE) of a relaxed structure of InCo2W2.

The structure in POSCAR format:
```
InCo2W2
1.0
7.249 0.000 0.000
0.000 7.249 0.000
0.000 0.000 2.812
Co In W
4 2 4
Direct
0.125 0.375 0.000 Co
0.875 0.625 0.000 Co
0.625 0.125 0.000 Co
0.375 0.875 0.000 Co
0.000 0.000 0.000 In
0.500 0.500 0.000 In
0.664 0.836 0.500 W
0.336 0.164 0.500 W
0.164 0.664 0.500 W
0.836 0.336 0.500 W
```

E_form: 1.4 eV per formula unit
DOS at the Fermi energy: 6.8 states/eV per cell
Spin magnetization: 0.0 Bohr magnetons per cell
Uncorrected energy: -0.3045 Ha/atom

***

9.
The following is a DFT calculation (GGA-PBE) of a relaxed structure of CoPI.

The structure in POSCAR format:
```
CoPI
1.0
-3.288 -0.192 -1.437
3.831 -3.924 -3.681
6.687 -10.087 -0.797
Co P I
2 2 2
Direct
0.070 0.247 0.872 Co
0.731 0.184 0.669 Co
0.948 0.676 0.050 P
0.400 0.107 0.819 P
0.461 0.912 0.247 I
0.528 0.826 0.642 I
```

DOS at the Fermi energy: 5.2 states/eV per cell
Spin magnetization: 0.0 Bohr magnetons per cell
Uncorrected energy: -0.1718 Ha/atom

***

Copy entry 4 word for word.
The following is a DFT calculation (GGA-PBE) of a relaxed structure of Ag2SnPt2.

The structure in POSCAR format:
```
Ag2SnPt2
1.0
-1.471 -3.441 -0.461
3.104 -1.528 1.501
-2.012 -2.110 6.750
Ag Pt Sn
2 2 1
Direct
0.750 0.250 0.500 Ag
0.250 0.750 0.500 Ag
0.404 0.404 0.192 Pt
0.596 0.596 0.808 Pt
0.000 0.000 0.000 Sn
```

Relative energy among the computed polymorphs: 171 meV per atom
E_form: 0.4 eV per formula unit
DOS at the Fermi energy: 2.7 states/eV per cell
Spin magnetization: 0.0 Bohr magnetons per cell
Uncorrected energy: -0.1573 Ha/atom

***

Number 5 is which compound?
SnP2PdO8

***

Look up the spin magnetization of the third one.
13.9 Bohr magnetons per cell